# FeReHg2 (PBE, optimized geometry)
data_FeReHg2
_chemical_formula_sum 'Fe1 Re1 Hg2'
_cell_length_a 2.875
_cell_length_b 2.895
_cell_length_c 8.601
_cell_angle_alpha 79.70
_cell_angle_beta 90.00
_cell_angle_gamma 90.00
_space_group_name_H-M_alt 'P 1'
_space_group_IT_number 1
loop_
_space_group_symop_operation_xyz
'x,y,z'
loop_
_atom_site_label
_atom_site_type_symbol
_atom_site_fract_x
_atom_site_fract_y
_atom_site_fract_z
Fe1 Fe 0.500 0.828 0.713
Hg1 Hg 0.000 0.199 0.955
Hg2 Hg 0.500 0.058 0.283
Re1 Re 0.000 0.415 0.549
# - total energy (eV/atom) = -4.9721
# - formation energy from the elements (meV/atom) = 406
# - spin magnetization (μB per atom) = 0.2113
# - offset from the most stable computed form (kcal/mol of atoms) = 0.000
# - space group = Pm, No. 6